# SbMo2Ir

A PBEsol-optimized structure of SbMo2Ir (SCAN, Alexandria via LeMat-Bulk).

Summary:
Total moment ... 0.0 μB/cell
Formation energy without anion corrections ... 0.331 eV/atom
E ... -707.2 eV per cell
Calculated density ... 13088 kg/m³
Density of states at the Fermi level ... 4.243 states/eV/f.u.

Cell: 6.3556 6.3556 6.3556 Å, 90.00 90.00 90.00°
Space group F-43m (No. 216)
Inequivalent atoms, fractional coordinates:
1 Sb 0.0000 0.0000 0.0000
2 Mo 0.0000 0.0000 0.5000
3 Mo 0.2500 0.2500 0.7500
4 Ir 0.2500 0.2500 0.2500